[1]
A relaxed LaNdSm crystal, computed with PBE.

Cell and atoms, written as extended XYZ:
```
6
Lattice="-1.145 1.499 5.517 -5.494 -1.388 -3.844 2.910 -6.145 -0.806" Properties=species:S:1:pos:R:3 pbc="T T T"
La -2.298 -1.606 1.058
La -0.440 -3.084 -1.236
Nd -4.117 -3.037 -2.006
Nd -0.487 -4.666 2.272
Sm -3.100 -6.073 -4.046
Sm -2.224 -6.144 -0.764
```

Computed properties:
relative energy among the computed polymorphs = 38.8 meV/atom


[2]
A relaxed PmPrSnPd crystal, computed with PBE.

Cell and atoms, written as extended XYZ:
```
4
Lattice="5.331 0.000 0.000 2.666 4.617 0.000 2.666 1.539 4.353" Properties=species:S:1:pos:R:3 pbc="T T T"
Pm 7.997 4.617 3.265
Pd 5.331 3.078 2.177
Pr 2.666 1.539 1.088
Sn 0.000 0.000 0.000
```


no.,energy relative to the elements (eV per atom)
1,0.053
2,-0.678